{"formula": "Li3Ni2H9Pd", "functional": "GGA-PBE", "state": "relaxed", "lattice_angstrom": [[4.710, 0.000, 0.000], [-2.355, 4.079, 0.000], [0.000, 0.000, 5.784]], "species": ["Ni", "Ni", "H", "H", "H", "H", "H", "H", "H", "H", "H", "Li", "Li", "Li", "Pd"], "fractional_positions": [[0.333, 0.667, 0.157], [0.667, 0.333, 0.843], [0.000, 0.500, 0.000], [0.648, 0.824, 0.323], [0.500, 0.500, 0.000], [0.176, 0.824, 0.323], [0.824, 0.176, 0.677], [0.500, 0.000, 0.000], [0.176, 0.352, 0.323], [0.352, 0.176, 0.677], [0.824, 0.648, 0.677], [0.667, 0.333, 0.324], [0.000, 0.000, 0.000], [0.333, 0.667, 0.676], [0.000, 0.000, 0.500]], "magnetic_moment_mub_per_fu": 0.0, "vol_a3_per_cell": 111.1, "e_tot_ev_per_atom": -3.779}

---

{"formula": "LiNi2HPd", "functional": "GGA-PBE", "state": "relaxed", "lattice_angstrom": [[3.581, 0.000, 0.000], [0.000, 3.581, 0.000], [0.000, 0.000, 4.012]], "species": ["Pd", "H", "Ni", "Ni", "Li"], "fractional_positions": [[0.000, 0.000, 0.500], [0.000, 0.000, 0.000], [0.500, 0.000, 0.000], [0.000, 0.500, 0.000], [0.500, 0.500, 0.500]], "magnetic_moment_mub_per_fu": 0.6, "vol_a3_per_cell": 51.5, "polymorph_energy_mev_per_atom": 33}

---

{"formula": "LiNi2HPd", "functional": "GGA-PBE", "state": "relaxed", "lattice_angstrom": [[3.558, 0.000, 0.000], [0.000, 3.558, 0.000], [0.000, 0.000, 3.976]], "species": ["Pd", "H", "Li", "Ni", "Ni"], "fractional_positions": [[0.500, 0.500, 0.500], [0.000, 0.000, 0.000], [0.000, 0.000, 0.500], [0.000, 0.500, 0.000], [0.500, 0.000, 0.000]], "magnetic_moment_mub_per_fu": 0.9, "vol_a3_per_cell": 50.3, "polymorph_energy_mev_per_atom": 0}

---

{"formula": "Li2NiH6Pd", "functional": "GGA-PBE", "state": "relaxed", "lattice_angstrom": [[4.766, 0.006, 0.007], [0.006, 4.766, 0.006], [-2.383, -2.383, 3.390]], "species": ["Ni", "H", "H", "H", "H", "H", "H", "Li", "Li", "Pd"], "fractional_positions": [[0.000, 0.000, 0.000], [0.758, 0.759, 0.993], [0.241, 0.242, 0.007], [0.761, 0.761, 0.526], [0.238, 0.762, 0.000], [0.239, 0.239, 0.474], [0.761, 0.239, 0.000], [0.252, 0.749, 0.500], [0.749, 0.252, 0.500], [0.500, 0.500, 0.000]], "magnetic_moment_mub_per_fu": 0.0, "vol_a3_per_cell": 77.1, "e_tot_ev_per_atom": -3.761}

---

{"formula": "LiNiH4Pd2", "functional": "GGA-PBE", "state": "relaxed", "lattice_angstrom": [[-2.764, 2.875, -1.193], [-2.873, -1.763, 2.443], [3.971, 1.828, 2.450]], "species": ["Ni", "H", "H", "H", "H", "Pd", "Pd", "Li"], "fractional_positions": [[0.500, 0.500, 0.000], [0.842, 0.408, 0.250], [0.408, 0.842, 0.250], [0.158, 0.158, 0.749], [0.591, 0.591, 0.749], [0.250, 0.750, 0.500], [0.750, 0.250, 0.500], [0.000, 0.000, 0.000]], "magnetic_moment_mub_per_fu": 0.0, "vol_a3_per_cell": 70.3, "e_tot_ev_per_atom": -4.109}

---

{"formula": "LiPmNi4H6", "functional": "GGA-PBE", "state": "relaxed", "lattice_angstrom": [[-1.776, 3.267, -2.323], [0.540, -3.948, -1.828], [-5.934, -1.764, 2.056]], "species": ["H", "H", "H", "H", "H", "H", "Li", "Pm", "Ni", "Ni", "Ni", "Ni"], "fractional_positions": [[0.000, 0.500, 0.669], [0.500, 0.000, 0.669], [0.500, 0.500, 0.669], [0.500, 0.000, 0.331], [0.000, 0.500, 0.331], [0.500, 0.500, 0.331], [0.000, 0.000, 0.000], [0.000, 0.000, 0.500], [0.667, 0.333, 0.820], [0.667, 0.333, 0.180], [0.333, 0.667, 0.180], [0.333, 0.667, 0.820]], "magnetic_moment_mub_per_fu": 0.0, "vol_a3_per_cell": 108.6, "e_tot_ev_per_atom": -4.392}